Version P
Computed, not measured: MnIr2C after structural relaxation at the GGA-PBE level of DFT.

Values from the calculation:
theoretical density: 13.86 g cm⁻³
magnetization: 8.2 μB per cell

```
8
Lattice="-3.285 3.285 2.505 3.285 -3.285 2.505 3.285 3.285 -2.505" Properties=species:S:1:pos:R:3 pbc="T T T"
Mn 0.000 0.000 0.000
Mn 0.000 3.285 1.252
Ir 1.642 2.350 -0.626
Ir 4.220 1.642 0.626
Ir 1.642 0.935 1.879
Ir -0.935 1.642 3.131
C 3.285 0.000 1.252
C 0.000 0.000 2.505
```

=====

Version Q
Computed, not measured: MnIr2C after structural relaxation at the GGA-PBE level of DFT.

Values from the calculation:
theoretical density: 15.06 g cm⁻³
magnetization: 3.8 μB per cell

```
4
Lattice="0.000 2.920 2.920 2.920 0.000 2.920 2.920 2.920 0.000" Properties=species:S:1:pos:R:3 pbc="T T T"
Mn 0.000 0.000 0.000
Ir 1.460 1.460 1.460
Ir 4.380 4.380 4.380
C 2.920 2.920 2.920
```

=====

Least stable of them? version Q.

=====

Version P
Computed, not measured: Mn2IrC after structural relaxation at the GGA-PBE level of DFT.

Values from the calculation:
theoretical density: 9.71 g cm⁻³
magnetization: 0.0 μB per cell

```
8
Lattice="-2.390 2.390 4.705 2.390 -2.390 4.705 2.390 2.390 -4.705" Properties=species:S:1:pos:R:3 pbc="T T T"
Mn 3.585 0.814 -1.176
Mn 0.814 1.195 1.176
Mn -1.195 1.575 3.529
Mn 1.575 1.195 5.881
Ir 2.390 0.000 2.352
Ir 0.000 0.000 4.705
C 0.000 0.000 0.000
C 0.000 2.390 2.352
```

=====

Version Q
Computed, not measured: Mn2IrC after structural relaxation at the GGA-PBE level of DFT.

Values from the calculation:
theoretical density: 11.94 g cm⁻³
magnetization: 3.6 μB per cell

```
4
Lattice="1.403 0.810 6.405 -1.403 0.810 6.405 0.000 -1.620 6.405" Properties=species:S:1:pos:R:3 pbc="T T T"
Mn 0.000 0.000 0.000
Mn 0.000 0.000 4.222
Ir 0.000 0.000 8.546
C 0.000 0.000 11.697
```

=====

Least stable of them? version P.

=====

Version P
Computed, not measured: Mn3IrC after structural relaxation at the GGA-PBE level of DFT.

Values from the calculation:
theoretical density: 5.48 g cm⁻³
magnetization: 12.1 μB per cell

```
5
Lattice="4.818 0.000 0.000 0.000 4.818 0.000 0.000 0.000 4.818" Properties=species:S:1:pos:R:3 pbc="T T T"
Mn 0.000 0.000 2.409
Mn 0.000 2.409 0.000
Mn 2.409 0.000 0.000
Ir 0.000 0.000 0.000
C 2.409 2.409 2.409
```

=====

Version Q
Computed, not measured: Mn3IrC after structural relaxation at the GGA-PBE level of DFT.

Values from the calculation:
theoretical density: 11.39 g cm⁻³
magnetization: 0.0 μB per cell

```
5
Lattice="3.775 0.000 0.000 0.000 3.775 0.000 0.000 0.000 3.775" Properties=species:S:1:pos:R:3 pbc="T T T"
Mn 0.000 0.000 1.887
Mn 0.000 1.887 0.000
Mn 1.887 0.000 0.000
Ir 1.887 1.887 1.887
C 0.000 0.000 0.000
```

=====

Least stable of them? version P.

=====

Version P
Computed, not measured: Mn2ZnIrC after structural relaxation at the GGA-PBE level of DFT.

Values from the calculation:
theoretical density: 10.23 g cm⁻³
magnetization: 4.9 μB per cell

```
5
Lattice="3.903 0.000 0.000 0.000 3.903 0.000 0.000 0.000 4.043" Properties=species:S:1:pos:R:3 pbc="T T T"
Mn 0.000 1.952 0.000
Mn 1.952 0.000 0.000
Zn 0.000 0.000 2.022
Ir 1.952 1.952 2.022
C 1.952 1.952 0.000
```

=====

Version Q
Computed, not measured: Mn2ZnIrC after structural relaxation at the GGA-PBE level of DFT.

Values from the calculation:
theoretical density: 6.66 g cm⁻³
magnetization: 8.1 μB per cell

```
5
Lattice="4.582 0.000 0.000 0.000 4.582 0.000 0.000 0.000 4.506" Properties=species:S:1:pos:R:3 pbc="T T T"
Mn 0.000 2.291 0.000
Mn 2.291 0.000 0.000
Zn 0.000 0.000 0.000
Ir 0.000 0.000 2.253
C 2.291 2.291 2.253
```

=====

Least stable of them? version Q.

=====

Version P
Computed, not measured: Mo3IrC after structural relaxation at the GGA-PBE level of DFT.

Values from the calculation:
theoretical density: 11.83 g cm⁻³
magnetization: 0.0 μB per cell

```
10
Lattice="2.669 -4.813 0.000 2.669 4.813 0.000 0.000 0.000 5.375" Properties=species:S:1:pos:R:3 pbc="T T T"
Mo 2.669 4.405 2.688
Mo 1.353 1.937 3.450
Mo 1.353 -1.937 0.763
Mo 3.985 1.937 3.450
Mo 3.985 -1.937 0.763
Mo 2.669 -4.405 0.000
Ir 2.669 0.383 1.512
Ir 2.669 -0.383 4.200
C 2.669 3.209 4.530
C 2.669 -3.209 1.842
```

=====

Version Q
Computed, not measured: Mo3IrC after structural relaxation at the GGA-PBE level of DFT.

Values from the calculation:
theoretical density: 11.70 g cm⁻³
magnetization: 0.0 μB per cell

```
5
Lattice="4.118 0.000 0.000 0.000 4.118 0.000 0.000 0.000 4.118" Properties=species:S:1:pos:R:3 pbc="T T T"
Mo 0.000 0.000 2.059
Mo 0.000 2.059 0.000
Mo 2.059 0.000 0.000
Ir 2.059 2.059 2.059
C 0.000 0.000 0.000
```

=====

Version R
Computed, not measured: Mo3IrC after structural relaxation at the GGA-PBE level of DFT.

Values from the calculation:
theoretical density: 7.72 g cm⁻³
magnetization: 0.8 μB per cell

```
5
Lattice="4.730 0.000 0.000 0.000 4.730 0.000 0.000 0.000 4.730" Properties=species:S:1:pos:R:3 pbc="T T T"
Mo 0.000 0.000 2.365
Mo 0.000 2.365 0.000
Mo 2.365 0.000 0.000
Ir 0.000 0.000 0.000
C 2.365 2.365 2.365
```

=====

Least stable of them? version R.

=====

Version P
Computed, not measured: MoIr3C after structural relaxation at the GGA-PBE level of DFT.

Values from the calculation:
theoretical density: 16.39 g cm⁻³
magnetization: 2.7 μB per cell

```
5
Lattice="4.109 0.000 0.000 0.000 4.109 0.000 0.000 0.000 4.109" Properties=species:S:1:pos:R:3 pbc="T T T"
Mo 0.000 0.000 0.000
Ir 0.000 2.054 2.054
Ir 2.054 0.000 2.054
Ir 2.054 2.054 0.000
C 2.054 2.054 2.054
```

=====

Version Q
Computed, not measured: MoIr3C after structural relaxation at the GGA-PBE level of DFT.

Values from the calculation:
theoretical density: 10.92 g cm⁻³
magnetization: 0.0 μB per cell

```
5
Lattice="4.705 0.000 0.000 0.000 4.705 0.000 0.000 0.000 4.705" Properties=species:S:1:pos:R:3 pbc="T T T"
Mo 0.000 0.000 0.000
Ir 0.000 0.000 2.352
Ir 0.000 2.352 0.000
Ir 2.352 0.000 0.000
C 2.352 2.352 2.352
```

=====

Least stable of them? version Q.